## Tb2NdP3 (PBE)

Data for an optimized crystal structure of Tb2NdP3.

Lattice parameters (Å, degrees): 4.079 5.766 7.058 114.11 106.80 90.00
Sites, in units of the cell vectors:
1 Tb 0.666 0.166 0.332
2 Tb 0.334 0.834 0.668
3 P 0.329 0.329 0.658
4 P 0.671 0.671 0.342
5 Nd 0.000 0.500 0.000
6 P 0.000 0.000 0.000

Computed properties:
* theoretical density: 6413 kg/m³
* final energy: -6.623 eV per atom
* energy of formation from the pure elements: -9.5 eV per formula unit


## TbNd2P (PBE)

Data for an optimized crystal structure of TbNd2P.

Lattice parameters (Å, degrees): 3.908 3.908 9.853 78.56 78.56 60.00
Sites, in units of the cell vectors:
1 Tb 0.500 0.500 0.500
2 Nd 0.726 0.726 0.821
3 Nd 0.274 0.274 0.179
4 P 0.000 0.000 0.000

Computed properties:
* theoretical density: 6263 kg/m³
* final energy: -5.512 eV per atom
* energy of formation from the pure elements: -2.5 eV per formula unit


## Tb3Nd5P8 (PBE)

Data for an optimized crystal structure of Tb3Nd5P8.

Lattice parameters (Å, degrees): 8.232 8.232 8.232 60.00 60.00 60.00
Sites, in units of the cell vectors:
1 Tb 0.500 0.000 0.500
2 Tb 0.000 0.000 0.500
3 P 0.250 0.250 0.744
4 Tb 0.000 0.500 0.500
5 P 0.756 0.250 0.744
6 Nd 0.000 0.500 0.000
7 P 0.750 0.750 0.256
8 Nd 0.500 0.000 0.000
9 P 0.247 0.247 0.258
10 P 0.244 0.750 0.256
11 P 0.250 0.756 0.744
12 Nd 0.500 0.500 0.500
13 P 0.753 0.753 0.742
14 Nd 0.000 0.000 0.000
15 P 0.750 0.244 0.256
16 Nd 0.500 0.500 0.000

Computed properties:
* theoretical density: 6086 kg/m³
* final energy: -6.622 eV per atom
* energy of formation from the pure elements: -24.9 eV per formula unit